[1]
The following is a PBE-GGA calculation of crystalline PrDyCdAg at its relaxed geometry, from the Alexandria database.

a b c (Å): 7.5291 7.5291 7.5291
angles (deg): 90.00 90.00 90.00
Last column: nearest neighbours and their distance in Å.
Space group F-43m (No. 216)
Asymmetric unit:
Pr: 0.0000 0.0000 0.0000 [4 per cell]  4 Cd 3.26, 4 Ag 3.26
Dy: 0.0000 0.0000 0.5000 [4 per cell]  4 Cd 3.26, 4 Ag 3.26
Cd: 0.2500 0.2500 0.7500 [4 per cell]  4 Dy 3.26, 4 Pr 3.26
Ag: 0.2500 0.2500 0.2500 [4 per cell]  4 Dy 3.26, 4 Pr 3.26

[2]
The following is a PBE-GGA calculation of crystalline ZnCu2Tc at its relaxed geometry, from the Alexandria database.

a b c (Å): 3.5845 3.5845 17.9437
angles (deg): 90.00 90.00 90.00
Last column: nearest neighbours and their distance in Å.
Space group I-42d (No. 122)
Asymmetric unit:
Zn: 0.0000 0.0000 0.0000 [4 per cell]  4 Tc 2.53, 4 Cu 2.57
Cu: 0.2450 0.2500 0.1250 [8 per cell]  4 Cu 2.51-2.56, 2 Zn 2.57, 2 Tc 2.58
Tc: 0.0000 0.0000 0.5000 [4 per cell]  4 Zn 2.53, 4 Cu 2.58

[3]
The following is a PBE-GGA calculation of crystalline Mn2PdPt4 at its relaxed geometry, from the Alexandria database.

a b c (Å): 5.4333 3.9369 5.4337
angles (deg): 90.00 92.54 90.00
Last column: nearest neighbours and their distance in Å.
Space group P2/m (No. 10)
Asymmetric unit:
Mn: 0.2247 0.0000 0.2252 [2 per cell]  8 Pt 2.64-2.85, 2 Pd 2.79
Pd: 0.5000 0.5000 0.0000 [1 per cell]  6 Pt 2.72, 4 Mn 2.79
Pt: 0.0000 0.5000 0.5000 [1 per cell]  6 Pt 2.72, 4 Mn 2.79
Pt: 0.2582 0.0000 0.7418 [2 per cell]  4 Mn 2.64-2.81, 2 Pd 2.72, 4 Pt 2.72-2.73
Pt: 0.5000 0.5000 0.5000 [1 per cell]  6 Pt 2.72-2.73, 2 Pd 2.72, 4 Mn 2.85

[4]
The following is a PBE-GGA calculation of crystalline Ca2ZnCd7 at its relaxed geometry, from the Alexandria database.

a b c (Å): 10.4505 10.4505 10.4505
angles (deg): 90.00 90.00 90.00
Last column: nearest neighbours and their distance in Å.
Space group Fm-3m (No. 225)
Asymmetric unit:
Ca: 0.2500 0.2500 0.2500 [8 per cell]  12 Cd 3.70
Zn: 0.0000 0.0000 0.0000 [4 per cell]  6 Cd 2.53
Cd: 0.0000 0.0000 0.2425 [24 per cell]  1 Zn 2.53, 1 Cd 2.69
Cd: 0.0000 0.0000 0.5000 [4 per cell]  6 Cd 2.69

ΔH_f (0 K), respectively: -27, 52, -15, 6 kJ/mol of atoms.